AcFeO2F | GGA+U | optimized geometry

Cell: 3.9337 12.3094 6.7866 Å, 90.00 90.00 90.00°
Last column: nearest neighbours and their distance in Å.
Space group Cmcm (No. 63)
Inequivalent atoms, fractional coordinates:
Ac  0.0000  0.2092  0.2500 [4 per cell]  6 O 2.51-2.58, 1 F 2.58
Fe  0.0000  0.5000  0.0000 [4 per cell]  2 O 1.91
O  0.0000  0.3452  0.5254 [8 per cell]  1 Fe 1.91
F  0.0000  0.9999  0.2500 [4 per cell]  1 Ac 2.58, 4 Fe 2.60

Properties
For the energy, the calculation gives -7.01 eV per atom.